1.
Material: TlCo3Pd
Method: DFT, PBE-GGA
State: relaxed

## Properties
- calculated formation energy (meV/atom) = 1202
- DOS at the Fermi energy (states/eV per atom) = 1.489
- total DFT energy (no corrections) (eV per atom) = -4.574
- relative energy among the computed polymorphs (meV per atom) = 0

Cell lengths 4.640, 4.640, 4.640 Å; angles 90.00, 90.00, 90.00 degrees
Space group Pm-3m (No. 221)
One atom of each set of equivalent atoms:
1 Tl 0.000 0.000 0.000 [1 per cell]
2 Co 0.000 0.500 0.500 [3 per cell]
3 Pd 0.500 0.500 0.500 [1 per cell]

=====

2.
Material: TlCo3Pd
Method: DFT, PBE-GGA
State: relaxed

## Properties
- calculated formation energy (meV/atom) = 1808
- DOS at the Fermi energy (states/eV per atom) = 2.240
- total DFT energy (no corrections) (eV per atom) = -3.967
- relative energy among the computed polymorphs (meV per atom) = 607

Cell lengths 4.729, 4.729, 4.729 Å; angles 90.00, 90.00, 90.00 degrees
Space group Pm-3m (No. 221)
One atom of each set of equivalent atoms:
1 Tl 0.000 0.000 0.000 [1 per cell]
2 Co 0.000 0.000 0.500 [3 per cell]
3 Pd 0.500 0.500 0.500 [1 per cell]

=====

Please write out number 1 again, unchanged.
Material: TlCo3Pd
Method: DFT, PBE-GGA
State: relaxed

## Properties
- calculated formation energy (meV/atom) = 1202
- DOS at the Fermi energy (states/eV per atom) = 1.489
- total DFT energy (no corrections) (eV per atom) = -4.574
- relative energy among the computed polymorphs (meV per atom) = 0

Cell lengths 4.640, 4.640, 4.640 Å; angles 90.00, 90.00, 90.00 degrees
Space group Pm-3m (No. 221)
One atom of each set of equivalent atoms:
1 Tl 0.000 0.000 0.000 [1 per cell]
2 Co 0.000 0.500 0.500 [3 per cell]
3 Pd 0.500 0.500 0.500 [1 per cell]